#A
Density functional theory data (PBE) for Pr2Zn2Cd after structural relaxation.

a = 7.4321 Å, b = 7.4321 Å, c = 4.5581 Å
α = 90.00°, β = 90.00°, γ = 90.00°
Last column: nearest neighbours and their distance in Å.
Positions (direct):
Pr 0.1703 0.3297 0.0000  6 Zn 3.12-3.19
Pr 0.3297 0.8297 0.0000  6 Zn 3.12-3.19
Pr 0.6703 0.1703 0.0000  6 Zn 3.12-3.19
Pr 0.8297 0.6703 0.0000  6 Zn 3.12-3.19
Zn 0.1263 0.6263 0.5000  1 Zn 2.66, 2 Cd 2.93
Zn 0.3737 0.1263 0.5000  1 Zn 2.66, 2 Cd 2.93
Zn 0.6263 0.8737 0.5000  1 Zn 2.66, 2 Cd 2.93
Zn 0.8737 0.3737 0.5000  1 Zn 2.66, 2 Cd 2.93
Cd 0.0000 0.0000 0.5000  4 Zn 2.93
Cd 0.5000 0.5000 0.5000  4 Zn 2.93

Computed properties:
V	25.18	Å³/atom
symmetry	P4/mbm (127)
calculated density	6926	kg/m3
M_tot	0.0	μB per cell
DOS at the Fermi energy	1.125	states/eV per atom



#B
Density functional theory data (PBE) for Pr2Zn2Cd after structural relaxation.

a = 5.9629 Å, b = 5.9629 Å, c = 11.0648 Å
α = 115.23°, β = 115.23°, γ = 46.75°
Last column: nearest neighbours and their distance in Å.
Positions (direct):
Pr 0.0183 0.0183 0.3291  4 Cd 3.23-3.32, 7 Zn 3.29-3.45
Pr 0.1973 0.1973 0.1057  6 Zn 3.12-3.34
Pr 0.8027 0.8027 0.8943  6 Zn 3.12-3.34
Pr 0.9817 0.9817 0.6709  4 Cd 3.23-3.32, 7 Zn 3.29-3.45
Zn 0.3692 0.3692 0.4369  1 Zn 2.54, 2 Cd 2.74
Zn 0.4838 0.4838 0.1087  1 Zn 2.59, 1 Cd 2.78
Zn 0.5162 0.5162 0.8913  1 Zn 2.59, 1 Cd 2.78
Zn 0.6308 0.6308 0.5631  1 Zn 2.54, 2 Cd 2.74
Cd 0.2711 0.2711 0.6478  4 Zn 2.74-2.99
Cd 0.7289 0.7289 0.3522  4 Zn 2.74-2.99

Computed properties:
V	25.38	Å³/atom
symmetry	C2/m (12)
calculated density	6871	kg/m3
M_tot	0.0	μB per cell
DOS at the Fermi energy	1.043	states/eV per atom



#A is the most stable structure; the next one sits 2.8 kJ/mol of atoms above it.